[1]
Material: Sc2Ni2Au
Method: DFT, GGA-PBE
State: optimized geometry

The space group is I4/mmm (No. 139) and the conventional cell measures 4.8543, 4.8543 and 7.4735 Å, with angles of 90.00, 90.00 and 90.00 degrees. Symmetry generates all atoms from Sc at (0.0000, 0.5000, 0.2500), Ni at (0.0000, 0.0000, 0.1493) and Au at (0.0000, 0.0000, 0.5000).

The calculation puts the energy of formation at -389 meV/atom. The energy relative to the lowest polymorph listed for this composition comes out at 210 meV/atom. The calculation puts the calculated volume at 17.610 A^3/atom.

[2]
Material: Sc2NiAu
Method: DFT, GGA-PBE
State: optimized geometry

The space group is Amm2 (No. 38) and the conventional cell measures 4.3774, 3.4010 and 10.0282 Å, with angles of 90.00, 90.00 and 90.00 degrees. Symmetry generates all atoms from Sc at (0.0000, 0.0000, 0.0000), Sc at (0.5000, 0.0000, 0.2867), Ni at (0.5000, 0.0000, 0.5563) and Au at (0.0000, 0.0000, 0.7220).

The calculation puts the energy of formation at -609 meV/atom. The calculation puts the calculated volume at 18.662 A^3/atom.

[3]
Material: Sc4NiAu
Method: DFT, GGA-PBE
State: optimized geometry

The space group is F-43m (No. 216) and the conventional cell measures 7.8368, 7.8368 and 7.8368 Å, with angles of 90.00, 90.00 and 90.00 degrees. Symmetry generates all atoms from Sc at (0.1253, 0.1253, 0.1253), Ni at (0.0000, 0.0000, 0.5000) and Au at (0.2500, 0.2500, 0.7500).

The calculation puts the energy of formation at 326 meV/atom. The energy relative to the lowest polymorph listed for this composition comes out at 625 meV/atom. The calculation puts the calculated volume at 20.054 A^3/atom.